No. 1
Entry from the Alexandria database: a relaxed SrGd2C crystal (PBE-GGA).

extended XYZ file:
```
4
Lattice="3.6888 0.0000 0.0000 1.8444 3.1946 0.0000 1.8444 1.0649 10.1422" Properties=species:S:1:pos:R:3 pbc="T T T"
Gd 1.8444 1.0649 6.4110
Gd 5.5332 3.1946 3.7312
C 3.6888 2.1297 5.0711
Sr 0.0000 0.0000 0.0000
```

Calculated values
As for the space-group type: R-3m, No. 166. The formation energy from the elements comes out at -56.6 meV per atom.

***

No. 2
Entry from the Alexandria database: a relaxed CrReSeS2 crystal (PBE-GGA).

extended XYZ file:
```
5
Lattice="4.4544 0.0000 0.0000 0.0000 5.5791 0.0000 0.0000 0.0000 4.4544" Properties=species:S:1:pos:R:3 pbc="T T T"
Se 0.0000 2.7896 0.0000
Re 0.0000 0.0000 0.0000
S 0.0000 0.0000 2.2272
S 2.2272 0.0000 0.0000
Cr 2.2272 2.7896 2.2272
```

Calculated values
As for the space-group type: P4/mmm, No. 123.

***

Raw total energy in eV per atom, matching the order above: -9.823; -6.326
Total magnetic moment in μB/cell, matching the order above: 14.9; 4.4